# 1
Below is a relaxed structure of Cs12Pt3F5, with properties calculated at the PBE level.

abc: 16.255 16.255 16.255
angles: 109.47 109.47 109.47
Fractional positions:
Cs  0.596  0.968  0.677
Cs  0.532  0.209  0.128
Cs  0.177  0.096  0.968
Cs  0.823  0.904  0.032
Cs  0.628  0.596  0.920
Cs  0.420  0.128  0.596
Cs  0.596  0.628  0.420
Cs  0.468  0.677  0.096
Cs  0.128  0.420  0.096
Cs  0.032  0.404  0.823
Cs  0.677  0.209  0.580
Cs  0.323  0.791  0.420
Cs  0.209  0.677  0.080
Cs  0.420  0.291  0.323
Cs  0.291  0.420  0.823
Cs  0.904  0.823  0.532
Cs  0.628  0.032  0.209
Cs  0.823  0.920  0.291
Cs  0.968  0.596  0.177
Cs  0.920  0.823  0.791
Cs  0.209  0.532  0.628
Cs  0.580  0.872  0.404
Cs  0.096  0.920  0.128
Cs  0.096  0.177  0.468
Cs  0.323  0.532  0.404
Cs  0.080  0.177  0.209
Cs  0.404  0.372  0.580
Cs  0.677  0.468  0.596
Cs  0.709  0.580  0.177
Cs  0.372  0.404  0.080
Cs  0.968  0.372  0.291
Cs  0.791  0.468  0.372
Cs  0.791  0.323  0.920
Cs  0.404  0.032  0.323
Cs  0.032  0.628  0.709
Cs  0.291  0.872  0.968
Cs  0.904  0.080  0.872
Cs  0.580  0.709  0.677
Cs  0.128  0.709  0.532
Cs  0.177  0.080  0.709
Cs  0.709  0.128  0.032
Cs  0.872  0.580  0.904
Cs  0.372  0.968  0.791
Cs  0.468  0.791  0.872
Cs  0.920  0.096  0.628
Cs  0.080  0.904  0.372
Cs  0.532  0.323  0.904
Cs  0.872  0.291  0.468
Pt  0.875  0.750  0.125
Pt  0.750  0.375  0.125
Pt  0.375  0.625  0.250
Pt  0.625  0.250  0.375
Pt  0.125  0.250  0.875
Pt  0.250  0.125  0.375
Pt  0.125  0.875  0.750
Pt  0.750  0.875  0.625
Pt  0.250  0.625  0.875
Pt  0.375  0.750  0.625
Pt  0.875  0.125  0.250
Pt  0.625  0.375  0.750
F  0.500  0.500  0.000
F  0.375  0.250  0.125
F  0.125  0.375  0.250
F  0.000  0.000  0.000
F  0.875  0.625  0.750
F  0.500  0.000  0.500
F  0.750  0.625  0.375
F  0.500  0.000  0.000
F  0.250  0.375  0.625
F  0.250  0.875  0.125
F  0.875  0.250  0.625
F  0.625  0.750  0.875
F  0.125  0.750  0.375
F  0.000  0.500  0.500
F  0.625  0.875  0.250
F  0.000  0.500  0.000
F  0.000  0.000  0.500
F  0.375  0.125  0.750
F  0.500  0.500  0.500
F  0.750  0.125  0.875

Computed properties:
ρ = 4.57 g/cm³

***

# 2
Below is a relaxed structure of CsPt2F, with properties calculated at the PBE level.

abc: 4.849 4.849 4.849
angles: 60.00 60.00 60.00
Fractional positions:
Cs  0.500  0.500  0.500
F  0.000  0.000  0.000
Pt  0.250  0.250  0.250
Pt  0.750  0.750  0.750

Computed properties:
ρ = 11.17 g/cm³

***

# 3
Below is a relaxed structure of Cs3PtF7, with properties calculated at the PBE level.

abc: 6.397 8.655 8.655
angles: 90.00 90.00 90.00
Each line ends with the local moment (μB).
Fractional positions:
Cs  0.500  0.191  0.691  0.00
Cs  0.500  0.809  0.309  0.00
Cs  0.500  0.691  0.809  0.00
Cs  0.000  0.000  0.000  0.00
Cs  0.000  0.500  0.500  0.00
Cs  0.500  0.309  0.191  0.00
F  0.000  0.338  0.162  0.00
F  0.500  0.000  0.000  0.10
F  0.777  0.612  0.112  0.00
F  0.500  0.500  0.500  0.10
F  0.777  0.388  0.888  0.00
F  0.223  0.612  0.112  0.00
F  0.000  0.162  0.662  0.00
F  0.223  0.388  0.888  0.00
F  0.000  0.838  0.338  0.00
F  0.777  0.888  0.612  0.00
F  0.777  0.112  0.388  0.00
F  0.223  0.888  0.612  0.00
F  0.223  0.112  0.388  0.00
F  0.000  0.662  0.838  0.00
Pt  0.000  0.500  0.000  0.04
Pt  0.000  0.000  0.500  0.04

Computed properties:
ρ = 5.04 g/cm³

***

# 4
Below is a relaxed structure of Cs2PtF6, with properties calculated at the PBE level.

abc: 6.522 6.522 6.522
angles: 60.00 60.00 60.00
Each line ends with the local moment (μB).
Fractional positions:
F  0.785  0.215  0.215  0.01
F  0.215  0.215  0.785  0.01
F  0.215  0.785  0.215  0.01
F  0.785  0.785  0.215  0.01
F  0.215  0.785  0.785  0.01
F  0.785  0.215  0.785  0.01
Cs  0.250  0.250  0.250  0.00
Cs  0.750  0.750  0.750  0.00
Pt  0.000  0.000  0.000  0.05

Computed properties:
Offset from the most stable computed form = 0 meV/atom
ρ = 4.87 g/cm³

***

Number 1: VASP energy -255.5 eV/cell. Number 2: VASP energy -11.8 eV/cell. Number 3: VASP energy -93.2 eV/cell. Number 4: VASP energy -38.6 eV/cell.